Below is a geometry-optimized LiNdSn2Pd5 structure, with properties calculated at the PBE level.

The structure in extended XYZ format:
```
9
Lattice="4.201 0.000 0.000 0.000 4.201 0.000 0.000 0.000 10.299" Properties=species:S:1:pos:R:3 pbc="T T T"
Sn 2.101 2.101 8.879
Sn 2.101 2.101 1.420
Pd 0.000 2.101 3.024
Pd 2.101 2.101 5.149
Pd 2.101 0.000 3.024
Pd 0.000 2.101 7.275
Pd 2.101 0.000 7.275
Nd 0.000 0.000 5.149
Li 0.000 0.000 0.000
```

**Formation energy**: -554 meV per atom
**ρ**: 8.4 g cm⁻³
**Calculated volume**: 20.20 Å³/atom
**Total magnetic moment**: 0.000 μB per atom
**SG**: P4/mmm